# Mn2SF (PBE+U, relaxed)
# - ΔE to the lowest computed polymorph: 0.186 eV/atom
# - Volume: 14.4 Å³/atom
data_Mn2SF
_symmetry_space_group_name_H-M 'F m -3 m'
_symmetry_Int_Tables_number 225
_symmetry_space_group_name_Hall '-F 4 2 3'
_cell_length_a 6.135
_cell_length_b 6.135
_cell_length_c 6.135
_cell_angle_alpha 90.00
_cell_angle_beta 90.00
_cell_angle_gamma 90.00
loop_
_atom_site_label
_atom_site_type_symbol
_atom_site_fract_x
_atom_site_fract_y
_atom_site_fract_z
_atom_site_occupancy
Mn1 Mn 0.250 0.250 0.250 1
S1 S 0.000 0.000 0.000 1
F1 F 0.000 0.000 0.500 1